DFT (SCAN) results for a PBEsol-optimized structure of CsTiNb6Cl18.

Values from the calculation:
magnetic moment: 1.01 μB per formula unit
space-group type: No. 163
N(E_F): 0.377 states/eV per atom
raw total energy: -16.7989 eV per atom
theoretical density: 3.78 Mg/m³

Cell lengths 9.086, 9.086, 16.915 Å; angles 90.00, 90.00, 120.00 degrees
Site moments in Bohr magnetons follow the coordinates.
Positions (direct):
Cl1 0.356 0.461 0.166  -0.01
Cl2 0.424 0.134 0.498  0.00
Cl3 0.188 0.945 0.663  0.00
Cl4 0.134 0.710 0.502  0.00
Cl5 0.356 0.895 0.334  -0.01
Cl6 0.290 0.866 0.998  0.00
Cl7 0.644 0.539 0.834  -0.01
Cl8 0.644 0.105 0.666  -0.01
Cl9 0.812 0.757 0.163  0.00
Cl10 0.895 0.356 0.834  -0.01
Cl11 0.105 0.644 0.166  -0.01
Cl12 0.424 0.290 0.002  0.00
Cl13 0.757 0.945 0.837  0.00
Cl14 0.710 0.576 0.498  0.00
Cl15 0.866 0.290 0.498  0.00
Cl16 0.055 0.812 0.837  0.00
Cl17 0.945 0.757 0.337  0.00
Cl18 0.710 0.134 0.002  0.00
Cl19 0.055 0.243 0.663  0.00
Cl20 0.895 0.539 0.666  -0.01
Cl21 0.539 0.895 0.166  -0.01
Cl22 0.105 0.461 0.334  -0.01
Cl23 0.576 0.866 0.502  0.00
Cl24 0.290 0.424 0.502  0.00
Cl25 0.243 0.055 0.163  0.00
Cl26 0.134 0.424 0.998  0.00
Cl27 0.812 0.055 0.337  0.00
Cl28 0.243 0.188 0.337  0.00
Cl29 0.866 0.576 0.002  0.00
Cl30 0.461 0.356 0.666  -0.01
Cl31 0.757 0.812 0.663  0.00
Cl32 0.188 0.243 0.837  0.00
Cl33 0.576 0.710 0.998  0.00
Cl34 0.945 0.188 0.163  0.00
Cl35 0.461 0.105 0.834  -0.01
Cl36 0.539 0.644 0.334  -0.01
Nb1 0.048 0.844 0.070  0.00
Nb2 0.203 0.048 0.930  0.00
Nb3 0.048 0.203 0.430  0.00
Nb4 0.156 0.203 0.070  0.00
Nb5 0.797 0.952 0.070  0.00
Nb6 0.952 0.797 0.570  0.00
Nb7 0.952 0.156 0.930  0.00
Nb8 0.203 0.156 0.570  0.00
Nb9 0.844 0.048 0.570  0.00
Nb10 0.797 0.844 0.430  0.00
Nb11 0.844 0.797 0.930  0.00
Nb12 0.156 0.952 0.430  0.00
Cs1 0.333 0.667 0.750  0.00
Cs2 0.667 0.333 0.250  0.00
Ti1 0.333 0.667 0.250  0.94
Ti2 0.667 0.333 0.750  0.94